4
Lattice="-2.400 1.093 0.884 -1.170 0.197 -3.420 -2.584 -6.102 0.532" Properties=species:S:1:pos:R:3 comment="CaFeOs2 (meta-GGA SCAN, single point on PBEsol structure)" magmom_total_mub_per_fu=3.13 e_above_lowest_polymorph_ev_per_atom=0.017 pbc="T T T"
Ca -1.301 -3.072 0.268
Fe -3.883 -4.309 -0.836
Os -0.001 -0.003 0.000
Os -2.261 -0.479 -1.170